No. 1
# NaDyTh

NaDyTh after structural relaxation (PBE, the Open Quantum Materials Database).

Computed properties:
calculated volume	35.45	Å³ per atom
size of the total moment	0.1	μB per formula unit
space-group type	F-43m
final energy	-0.2428	Ry per atom

a b c (Å): 5.3182 5.3182 5.3182
angles (deg): 60.00 60.00 60.00
Positions (direct):
Na (0.2500, 0.2500, 0.2500)
Dy (0.0000, 0.0000, 0.0000)
Th (0.7500, 0.7500, 0.7500)


No. 2
# Na3DyTh2

Na3DyTh2 after structural relaxation (PBE, the Open Quantum Materials Database).

Computed properties:
calculated volume	33.02	Å³ per atom
size of the total moment	0.1	μB per formula unit
space-group type	P6/mmm
final energy	-0.2508	Ry per atom

a b c (Å): 5.9580 5.9580 6.4430
angles (deg): 90.00 90.00 119.97
Positions (direct):
Na (0.0000, 0.5000, 0.5000)
Na (0.5000, 0.5000, 0.5000)
Na (0.5000, 0.0000, 0.5000)
Th (0.3330, 0.6670, 0.0000)
Th (0.6670, 0.3330, 0.0000)
Dy (0.0000, 0.0000, 0.0000)


No. 3
# NaDyTl

NaDyTl after structural relaxation (PBE, the Open Quantum Materials Database).

Computed properties:
calculated volume	32.47	Å³ per atom
size of the total moment	0.8	μB per formula unit
space-group type	F-43m
final energy	-0.1751	Ry per atom
energy above the most stable polymorph in this dataset	76	kJ/mol of formula units

a b c (Å): 5.1647 5.1647 5.1647
angles (deg): 60.00 60.00 60.00
Each line ends with the local moment (μB).
Positions (direct):
Dy (0.0000, 0.0000, 0.0000)  0.30
Tl (0.7500, 0.7500, 0.7500)  0.12
Na (0.2500, 0.2500, 0.2500)  0.01


No. 4
# NaDyTl

NaDyTl after structural relaxation (PBE, the Open Quantum Materials Database).

Computed properties:
calculated volume	32.07	Å³ per atom
size of the total moment	1.0	μB per formula unit
space-group type	F-43m
final energy	-0.1945	Ry per atom
energy above the most stable polymorph in this dataset	0	kJ/mol of formula units

a b c (Å): 5.1432 5.1432 5.1432
angles (deg): 60.00 60.00 60.00
Positions (direct):
Dy (0.2500, 0.2500, 0.2500)
Na (0.7500, 0.7500, 0.7500)
Tl (0.0000, 0.0000, 0.0000)


No. 5
# NaDyTl2

NaDyTl2 after structural relaxation (PBE, the Open Quantum Materials Database).

Computed properties:
calculated volume	26.84	Å³ per atom
size of the total moment	0.0	μB per formula unit
space-group type	P4/mmm
final energy	-0.2143	Ry per atom

a b c (Å): 5.2892 5.2892 3.8380
angles (deg): 90.00 90.00 90.00
Positions (direct):
Dy (0.0000, 0.0000, 0.5000)
Na (0.5000, 0.5000, 0.5000)
Tl (0.0000, 0.5000, 0.0000)
Tl (0.5000, 0.0000, 0.0000)


No. 6
# NaDyY

NaDyY after structural relaxation (PBE, the Open Quantum Materials Database).

Computed properties:
calculated volume	35.22	Å³ per atom
size of the total moment	1.5	μB per formula unit
space-group type	F-43m
final energy	-0.2430	Ry per atom
energy above the most stable polymorph in this dataset	0	kJ/mol of formula units

a b c (Å): 5.3067 5.3067 5.3067
angles (deg): 60.00 60.00 60.00
Positions (direct):
Na (0.0000, 0.0000, 0.0000)
Dy (0.2500, 0.2500, 0.2500)
Y (0.7500, 0.7500, 0.7500)


No. 7
# NaDyZn

NaDyZn after structural relaxation (PBE, the Open Quantum Materials Database).

Computed properties:
calculated volume	27.45	Å³ per atom
size of the total moment	0.3	μB per formula unit
space-group type	F-43m
final energy	-0.1581	Ry per atom

a b c (Å): 4.8834 4.8834 4.8834
angles (deg): 60.00 60.00 60.00
Each line ends with the local moment (μB).
Positions (direct):
Zn (0.0000, 0.0000, 0.0000)  0.02
Dy (0.2500, 0.2500, 0.2500)  0.10
Na (0.7500, 0.7500, 0.7500)  0.00


No. 8
# NdDyNb

NdDyNb after structural relaxation (PBE, the Open Quantum Materials Database).

Computed properties:
calculated volume	31.68	Å³ per atom
size of the total moment	2.1	μB per formula unit
space-group type	F-43m
ΔE_f	0.8078	eV/atom
final energy	-0.4173	Ry per atom

a b c (Å): 5.1225 5.1225 5.1225
angles (deg): 60.00 60.00 60.00
Each line ends with the local moment (μB).
Positions (direct):
Nd (0.5000, 0.5000, 0.5000)  0.10
Dy (0.0000, 0.0000, 0.0000)  0.22
Nb (0.7500, 0.7500, 0.7500)  1.46